LiLaDy2 after structural relaxation. Source: Alexandria, functional PBE-GGA.

a = 3.503 Å, b = 3.503 Å, c = 36.706 Å
α = 90.00°, β = 90.00°, γ = 120.00°
Element x y z (fractional)
Li (0.000, 0.000, 0.000)
Li (0.333, 0.667, 0.667)
Li (0.667, 0.333, 0.333)
La (0.000, 0.000, 0.500)
La (0.333, 0.667, 0.167)
La (0.667, 0.333, 0.833)
Dy (0.000, 0.000, 0.088)
Dy (0.000, 0.000, 0.912)
Dy (0.333, 0.667, 0.579)
Dy (0.333, 0.667, 0.755)
Dy (0.667, 0.333, 0.245)
Dy (0.667, 0.333, 0.421)

## Properties
- E above lowest polymorph (meV/atom) = 119
- V (Å³/f.u.) = 130.0
- spin magnetization (μB/cell) = 0.0
- energy (eV for the cell shown) = -45.7

YTiNi3 after structural relaxation. Source: Alexandria, functional PBE-GGA.

a = 4.618 Å, b = 4.618 Å, c = 4.618 Å
α = 90.00°, β = 90.00°, γ = 90.00°
Element x y z (fractional)
Y (0.000, 0.000, 0.000)
Ti (0.500, 0.500, 0.500)
Ni (0.000, 0.000, 0.500)
Ni (0.000, 0.500, 0.000)
Ni (0.500, 0.000, 0.000)

## Properties
- E above lowest polymorph (meV/atom) = 1048
- V (Å³/f.u.) = 98.5
- spin magnetization (μB/cell) = 0.0
- energy (eV for the cell shown) = -25.7

Ho2Sn2O7 after structural relaxation. Source: Alexandria, functional PBE-GGA.

a = 7.403 Å, b = 7.403 Å, c = 7.403 Å
α = 60.00°, β = 60.00°, γ = 60.00°
Element x y z (fractional)
Ho (0.000, 0.000, 0.000)
Ho (0.000, 0.000, 0.500)
Ho (0.000, 0.500, 0.000)
Ho (0.500, 0.000, 0.000)
Sn (0.000, 0.500, 0.500)
Sn (0.500, 0.000, 0.500)
Sn (0.500, 0.500, 0.000)
Sn (0.500, 0.500, 0.500)
O (0.125, 0.125, 0.125)
O (0.160, 0.160, 0.590)
O (0.160, 0.590, 0.160)
O (0.160, 0.590, 0.590)
O (0.410, 0.410, 0.840)
O (0.410, 0.840, 0.410)
O (0.410, 0.840, 0.840)
O (0.590, 0.160, 0.160)
O (0.590, 0.160, 0.590)
O (0.590, 0.590, 0.160)
O (0.840, 0.410, 0.410)
O (0.840, 0.410, 0.840)
O (0.840, 0.840, 0.410)
O (0.875, 0.875, 0.875)

## Properties
- energy relative to the elements, uncorrected (eV/atom) = -2.587
- V (Å³/f.u.) = 143.5
- spin magnetization (μB/cell) = 0.0
- energy (eV for the cell shown) = -160.7

FePOs2 after structural relaxation. Source: Alexandria, functional PBE-GGA.

a = 2.771 Å, b = 3.619 Å, c = 5.166 Å
α = 90.00°, β = 90.00°, γ = 90.00°
Element x y z (fractional)
Fe (0.000, 0.000, 0.000)
P (0.500, 0.500, 0.718)
Os (0.000, 0.000, 0.518)
Os (0.500, 0.500, 0.179)

## Properties
- V (Å³/f.u.) = 51.8
- spin magnetization (μB/cell) = 0.0
- energy (eV for the cell shown) = -35.5

Tb3Pr2Sm3 after structural relaxation. Source: Alexandria, functional PBE-GGA.

a = 8.844 Å, b = 8.844 Å, c = 17.631 Å
α = 90.00°, β = 90.00°, γ = 156.57°
Element x y z (fractional)
Tb (0.002, 0.998, 0.601)
Tb (0.002, 0.998, 0.899)
Tb (0.415, 0.585, 0.250)
Tb (0.585, 0.415, 0.750)
Tb (0.998, 0.002, 0.101)
Tb (0.998, 0.002, 0.399)
Pr (0.227, 0.773, 0.653)
Pr (0.227, 0.773, 0.847)
Pr (0.773, 0.227, 0.153)
Pr (0.773, 0.227, 0.347)
Sm (0.350, 0.650, 0.504)
Sm (0.350, 0.650, 0.996)
Sm (0.397, 0.603, 0.750)
Sm (0.603, 0.397, 0.250)
Sm (0.650, 0.350, 0.004)
Sm (0.650, 0.350, 0.496)

## Properties
- E above lowest polymorph (meV/atom) = 108
- V (Å³/f.u.) = 274.2
- spin magnetization (μB/cell) = 0.0
- energy (eV for the cell shown) = -73.2

NaPdW3 after structural relaxation. Source: Alexandria, functional PBE-GGA.

a = 4.467 Å, b = 4.467 Å, c = 4.467 Å
α = 90.00°, β = 90.00°, γ = 90.00°
Element x y z (fractional)
Na (0.000, 0.000, 0.000)
Pd (0.500, 0.500, 0.500)
W (0.000, 0.000, 0.500)
W (0.000, 0.500, 0.000)
W (0.500, 0.000, 0.000)

## Properties
- E above lowest polymorph (meV/atom) = 521
- V (Å³/f.u.) = 89.2
- spin magnetization (μB/cell) = 0.0
- energy (eV for the cell shown) = -30.9

SnPd2Pb after structural relaxation. Source: Alexandria, functional PBE-GGA.

a = 3.355 Å, b = 3.355 Å, c = 25.528 Å
α = 90.00°, β = 90.00°, γ = 120.00°
Element x y z (fractional)
Sn (0.000, 0.000, 0.000)
Sn (0.333, 0.667, 0.667)
Sn (0.667, 0.333, 0.333)
Pd (0.000, 0.000, 0.256)
Pd (0.000, 0.000, 0.744)
Pd (0.333, 0.667, 0.411)
Pd (0.333, 0.667, 0.923)
Pd (0.667, 0.333, 0.077)
Pd (0.667, 0.333, 0.589)
Pb (0.000, 0.000, 0.500)
Pb (0.333, 0.667, 0.167)
Pb (0.667, 0.333, 0.833)

## Properties
- E above lowest polymorph (meV/atom) = 162
- V (Å³/f.u.) = 83.0
- spin magnetization (μB/cell) = 0.0
- energy (eV for the cell shown) = -57.1

Ho3Er2Ge4 after structural relaxation. Source: Alexandria, functional PBE-GGA.

a = 8.025 Å, b = 7.704 Å, c = 7.605 Å
α = 90.00°, β = 114.23°, γ = 90.00°
Element x y z (fractional)
Ho (0.000, 0.000, 0.000)
Ho (0.000, 0.500, 0.500)
Ho (0.268, 0.162, 0.786)
Ho (0.268, 0.338, 0.286)
Ho (0.732, 0.662, 0.714)
Ho (0.732, 0.838, 0.214)
Er (0.291, 0.675, 0.949)
Er (0.291, 0.825, 0.449)
Er (0.709, 0.175, 0.551)
Er (0.709, 0.325, 0.051)
Ge (0.007, 0.631, 0.130)
Ge (0.007, 0.869, 0.630)
Ge (0.409, 0.025, 0.188)
Ge (0.409, 0.475, 0.688)
Ge (0.591, 0.525, 0.312)
Ge (0.591, 0.975, 0.812)
Ge (0.993, 0.131, 0.370)
Ge (0.993, 0.369, 0.870)

## Properties
- V (Å³/f.u.) = 214.4
- spin magnetization (μB/cell) = 0.0
- energy (eV for the cell shown) = -98.0

BaYZr2 after structural relaxation. Source: Alexandria, functional PBE-GGA.

a = 3.428 Å, b = 3.428 Å, c = 34.943 Å
α = 90.00°, β = 90.00°, γ = 120.00°
Element x y z (fractional)
Ba (0.000, 0.000, 0.000)
Ba (0.333, 0.667, 0.667)
Ba (0.667, 0.333, 0.333)
Y (0.000, 0.000, 0.500)
Y (0.333, 0.667, 0.167)
Y (0.667, 0.333, 0.833)
Zr (0.000, 0.000, 0.244)
Zr (0.000, 0.000, 0.756)
Zr (0.333, 0.667, 0.423)
Zr (0.333, 0.667, 0.910)
Zr (0.667, 0.333, 0.090)
Zr (0.667, 0.333, 0.577)

## Properties
- E above lowest polymorph (meV/atom) = 161
- V (Å³/f.u.) = 118.6
- spin magnetization (μB/cell) = 0.0
- energy (eV for the cell shown) = -71.2

ZnBCl3 after structural relaxation. Source: Alexandria, functional PBE-GGA.

a = 4.843 Å, b = 4.843 Å, c = 4.843 Å
α = 90.00°, β = 90.00°, γ = 90.00°
Element x y z (fractional)
Zn (0.000, 0.000, 0.000)
B (0.500, 0.500, 0.500)
Cl (0.000, 0.000, 0.500)
Cl (0.000, 0.500, 0.000)
Cl (0.500, 0.000, 0.000)

## Properties
- E above lowest polymorph (meV/atom) = 59
- energy relative to the elements, uncorrected (eV/atom) = 0.286
- V (Å³/f.u.) = 113.6
- spin magnetization (μB/cell) = 0.0
- energy (eV for the cell shown) = -12.1

LiPmPuPb after structural relaxation. Source: Alexandria, functional PBE-GGA.

a = 7.644 Å, b = 7.644 Å, c = 7.644 Å
α = 90.00°, β = 90.00°, γ = 90.00°
Element x y z (fractional)
Li (0.000, 0.000, 0.000)
Li (0.000, 0.500, 0.500)
Li (0.500, 0.000, 0.500)
Li (0.500, 0.500, 0.000)
Pm (0.250, 0.250, 0.250)
Pm (0.250, 0.750, 0.750)
Pm (0.750, 0.250, 0.750)
Pm (0.750, 0.750, 0.250)
Pu (0.250, 0.250, 0.750)
Pu (0.250, 0.750, 0.250)
Pu (0.750, 0.250, 0.250)
Pu (0.750, 0.750, 0.750)
Pb (0.000, 0.000, 0.500)
Pb (0.000, 0.500, 0.000)
Pb (0.500, 0.000, 0.000)
Pb (0.500, 0.500, 0.500)

## Properties
- V (Å³/f.u.) = 111.7
- spin magnetization (μB/cell) = 26.6
- energy (eV for the cell shown) = -100.2

Pr6Sm5Cd after structural relaxation. Source: Alexandria, functional PBE-GGA.

a = 9.625 Å, b = 9.625 Å, c = 9.625 Å
α = 148.97°, β = 116.31°, γ = 72.54°
Element x y z (fractional)
Pr (0.080, 0.336, 0.744)
Pr (0.244, 0.000, 0.244)
Pr (0.408, 0.664, 0.744)
Pr (0.592, 0.336, 0.256)
Pr (0.756, 0.000, 0.756)
Pr (0.920, 0.664, 0.256)
Sm (0.171, 0.171, 0.000)
Sm (0.336, 0.836, 0.500)
Sm (0.500, 0.500, 0.000)
Sm (0.664, 0.164, 0.500)
Sm (0.829, 0.829, 0.000)
Cd (0.000, 0.500, 0.500)

## Properties
- V (Å³/f.u.) = 405.9
- spin magnetization (μB/cell) = 0.0
- energy (eV for the cell shown) = -53.4

Sr2Al2Si after structural relaxation. Source: Alexandria, functional PBE-GGA.

a = 4.719 Å, b = 4.121 Å, c = 13.920 Å
α = 90.00°, β = 90.00°, γ = 90.00°
Element x y z (fractional)
Sr (0.000, 0.000, 0.000)
Sr (0.000, 0.000, 0.252)
Sr (0.000, 0.500, 0.500)
Sr (0.000, 0.500, 0.752)
Al (0.500, 0.000, 0.423)
Al (0.500, 0.000, 0.626)
Al (0.500, 0.500, 0.126)
Al (0.500, 0.500, 0.923)
Si (0.500, 0.000, 0.822)
Si (0.500, 0.500, 0.322)

## Properties
- energy relative to the elements, uncorrected (eV/atom) = -0.223
- V (Å³/f.u.) = 135.4
- spin magnetization (μB/cell) = 0.0
- energy (eV for the cell shown) = -34.8

MgAlSb2 after structural relaxation. Source: Alexandria, functional PBE-GGA.

a = 3.427 Å, b = 3.427 Å, c = 8.038 Å
α = 90.00°, β = 90.00°, γ = 90.00°
Element x y z (fractional)
Mg (0.000, 0.000, 0.000)
Al (0.000, 0.000, 0.500)
Sb (0.500, 0.500, 0.258)
Sb (0.500, 0.500, 0.742)

## Properties
- E above lowest polymorph (meV/atom) = 112
- energy relative to the elements, uncorrected (eV/atom) = 0.042
- V (Å³/f.u.) = 94.4
- spin magnetization (μB/cell) = 0.0
- energy (eV for the cell shown) = -13.4

TiAlPt3 after structural relaxation. Source: Alexandria, functional PBE-GGA.

a = 4.635 Å, b = 4.638 Å, c = 7.674 Å
α = 72.47°, β = 85.76°, γ = 76.11°
Element x y z (fractional)
Ti (0.250, 0.144, 0.211)
Ti (0.750, 0.856, 0.789)
Al (0.250, 0.357, 0.786)
Al (0.750, 0.643, 0.214)
Pt (0.249, 0.750, 0.999)
Pt (0.250, 0.944, 0.613)
Pt (0.251, 0.559, 0.380)
Pt (0.749, 0.441, 0.620)
Pt (0.750, 0.056, 0.387)
Pt (0.751, 0.250, 0.001)

## Properties
- E above lowest polymorph (meV/atom) = 0
- V (Å³/f.u.) = 76.4
- spin magnetization (μB/cell) = 0.0
- energy (eV for the cell shown) = -68.9

GaB2Pt8 after structural relaxation. Source: Alexandria, functional PBE-GGA.

a = 7.304 Å, b = 7.304 Å, c = 5.843 Å
α = 112.92°, β = 112.92°, γ = 33.48°
Element x y z (fractional)
Ga (0.000, 0.000, 0.000)
B (0.344, 0.344, 0.333)
B (0.656, 0.656, 0.667)
Pt (0.102, 0.102, 0.688)
Pt (0.198, 0.198, 0.351)
Pt (0.321, 0.321, 0.960)
Pt (0.459, 0.459, 0.705)
Pt (0.541, 0.541, 0.295)
Pt (0.679, 0.679, 0.040)
Pt (0.802, 0.802, 0.649)
Pt (0.898, 0.898, 0.312)

## Properties
- V (Å³/f.u.) = 157.1
- spin magnetization (μB/cell) = 0.0
- energy (eV for the cell shown) = -67.2

Ba2InSbSe5 after structural relaxation. Source: Alexandria, functional PBE-GGA.

a = 9.943 Å, b = 9.943 Å, c = 13.327 Å
α = 90.00°, β = 90.00°, γ = 154.71°
Element x y z (fractional)
Ba (0.114, 0.886, 0.500)
Ba (0.129, 0.871, 0.123)
Ba (0.871, 0.129, 0.623)
Ba (0.886, 0.114, 0.000)
In (0.438, 0.562, 0.261)
In (0.562, 0.438, 0.761)
Sb (0.217, 0.783, 0.837)
Sb (0.783, 0.217, 0.337)
Se (0.046, 0.954, 0.873)
Se (0.282, 0.718, 0.478)
Se (0.310, 0.690, 0.183)
Se (0.353, 0.647, 0.814)
Se (0.497, 0.503, 0.591)
Se (0.503, 0.497, 0.091)
Se (0.647, 0.353, 0.314)
Se (0.690, 0.310, 0.683)
Se (0.718, 0.282, 0.978)
Se (0.954, 0.046, 0.373)

## Properties
- energy relative to the elements, uncorrected (eV/atom) = -1.180
- V (Å³/f.u.) = 281.4
- spin magnetization (μB/cell) = 0.0
- energy (eV for the cell shown) = -77.5

YCrAs2 after structural relaxation. Source: Alexandria, functional PBE-GGA.

a = 3.827 Å, b = 3.901 Å, c = 5.808 Å
α = 90.00°, β = 90.00°, γ = 90.00°
Element x y z (fractional)
Y (0.000, 0.000, 0.000)
Cr (0.500, 0.000, 0.500)
As (0.500, 0.500, 0.237)
As (0.500, 0.500, 0.763)

## Properties
- E above lowest polymorph (meV/atom) = 301
- V (Å³/f.u.) = 86.7
- spin magnetization (μB/cell) = 3.4
- energy (eV for the cell shown) = -27.3

Ge2IrPd after structural relaxation. Source: Alexandria, functional PBE-GGA.

a = 3.992 Å, b = 3.992 Å, c = 14.792 Å
α = 90.00°, β = 90.00°, γ = 120.00°
Element x y z (fractional)
Ge (0.000, 0.000, 0.000)
Ge (0.000, 0.000, 0.187)
Ge (0.333, 0.667, 0.667)
Ge (0.333, 0.667, 0.854)
Ge (0.667, 0.333, 0.333)
Ge (0.667, 0.333, 0.521)
Ir (0.000, 0.000, 0.605)
Ir (0.333, 0.667, 0.272)
Ir (0.667, 0.333, 0.939)
Pd (0.000, 0.000, 0.416)
Pd (0.333, 0.667, 0.083)
Pd (0.667, 0.333, 0.750)

## Properties
- V (Å³/f.u.) = 68.0
- spin magnetization (μB/cell) = 0.0
- energy (eV for the cell shown) = -72.4

Pr2ZnGaNi6 after structural relaxation. Source: Alexandria, functional PBE-GGA.

a = 6.059 Å, b = 6.185 Å, c = 6.208 Å
α = 60.42°, β = 60.96°, γ = 61.30°
Element x y z (fractional)
Pr (0.108, 0.298, 0.294)
Pr (0.892, 0.702, 0.706)
Zn (0.500, 0.500, 0.500)
Ga (0.000, 0.000, 0.000)
Ni (0.384, 0.666, 0.826)
Ni (0.397, 0.111, 0.664)
Ni (0.397, 0.821, 0.114)
Ni (0.603, 0.179, 0.886)
Ni (0.603, 0.889, 0.336)
Ni (0.616, 0.334, 0.174)

## Properties
- V (Å³/f.u.) = 167.8
- spin magnetization (μB/cell) = 0.0
- energy (eV for the cell shown) = -51.0